{"formula": "YSc", "functional": "GGA-PBE", "state": "relaxed", "lattice_angstrom": [[11.9466, 0.0000, 0.0000], [0.0000, 11.9466, 0.0000], [0.0000, 0.0000, 3.3502]], "species": ["Y", "Y", "Y", "Y", "Y", "Y", "Y", "Y", "Sc", "Sc", "Sc", "Sc", "Sc", "Sc", "Sc", "Sc"], "fractional_positions": [[0.1133, 0.1800, 0.0000], [0.1800, 0.8867, 0.0000], [0.3280, 0.6266, 0.5000], [0.3734, 0.3280, 0.5000], [0.6266, 0.6720, 0.5000], [0.6720, 0.3734, 0.5000], [0.8200, 0.1133, 0.0000], [0.8867, 0.8200, 0.0000], [0.0883, 0.6445, 0.0000], [0.1196, 0.4267, 0.5000], [0.3555, 0.0883, 0.0000], [0.4267, 0.8804, 0.5000], [0.5733, 0.1196, 0.5000], [0.6445, 0.9117, 0.0000], [0.8804, 0.5733, 0.5000], [0.9117, 0.3555, 0.0000]], "dos_at_fermi_per_ev_cell": 27.6, "space_group": "P4/m", "rho_g_cm3": 3.719, "total_energy_ev_per_cell": -98.17, "crystal_system": "tetragonal"}


{"formula": "YSc", "functional": "GGA-PBE", "state": "relaxed", "lattice_angstrom": [[3.8396, 0.0000, 0.0000], [0.0000, 3.8396, 0.0000], [0.0000, 0.0000, 3.8396]], "species": ["Y", "Sc"], "fractional_positions": [[0.0000, 0.0000, 0.0000], [0.5000, 0.5000, 0.5000]], "dos_at_fermi_per_ev_cell": 3.0, "space_group": "Pm-3m", "rho_g_cm3": 3.927, "total_energy_ev_per_cell": -12.61, "crystal_system": "cubic"}


{"formula": "YSc", "functional": "GGA-PBE", "state": "relaxed", "lattice_angstrom": [[3.3877, 0.0000, 0.0000], [0.0000, 6.7572, 4.0303], [0.0000, -6.7572, 4.0303]], "species": ["Y", "Y", "Y", "Sc", "Sc", "Sc"], "fractional_positions": [[0.0000, 0.0000, 0.0000], [0.0000, 0.3873, 0.8333], [0.0000, 0.8333, 0.3873], [0.5000, 0.2032, 0.4225], [0.5000, 0.4225, 0.2032], [0.5000, 0.6430, 0.6430]], "dos_at_fermi_per_ev_cell": 10.5, "space_group": "Amm2", "rho_g_cm3": 3.614, "total_energy_ev_per_cell": -36.42, "crystal_system": "orthorhombic"}


{"formula": "Y2Sc", "functional": "GGA-PBE", "state": "relaxed", "lattice_angstrom": [[9.4434, 0.0000, 0.0000], [-4.7217, 8.1782, 0.0000], [0.0000, 0.0000, 3.4918]], "species": ["Y", "Y", "Y", "Y", "Y", "Y", "Sc", "Sc", "Sc"], "fractional_positions": [[0.0000, 0.3016, 0.0000], [0.0000, 0.6348, 0.5000], [0.3016, 0.0000, 0.0000], [0.3652, 0.3652, 0.5000], [0.6348, 0.0000, 0.5000], [0.6984, 0.6984, 0.0000], [0.0000, 0.0000, 0.5000], [0.3333, 0.6667, 0.0000], [0.6667, 0.3333, 0.0000]], "dos_at_fermi_per_ev_cell": 17.9, "space_group": "P-62m", "rho_g_cm3": 4.115, "total_energy_ev_per_cell": -57.41, "crystal_system": "hexagonal"}


{"formula": "YSc", "functional": "GGA-PBE", "state": "relaxed", "lattice_angstrom": [[0.0000, 4.8358, 4.8358], [4.8358, 0.0000, 4.8358], [4.8358, 4.8358, 0.0000]], "species": ["Y", "Y", "Y", "Y", "Sc", "Sc", "Sc", "Sc"], "fractional_positions": [[0.0000, 0.0000, 0.0000], [0.0000, 0.0000, 0.5000], [0.0000, 0.5000, 0.0000], [0.5000, 0.0000, 0.0000], [0.0000, 0.5000, 0.5000], [0.5000, 0.0000, 0.5000], [0.5000, 0.5000, 0.0000], [0.5000, 0.5000, 0.5000]], "dos_at_fermi_per_ev_cell": 14.7, "space_group": "Fd-3m", "rho_g_cm3": 3.931, "total_energy_ev_per_cell": -50.57, "crystal_system": "cubic"}


{"formula": "Y4Sc3", "functional": "GGA-PBE", "state": "relaxed", "lattice_angstrom": [[6.2406, 0.0000, 0.0000], [-3.1203, 5.4045, 0.0000], [0.0000, 0.0000, 6.3286]], "species": ["Y", "Y", "Y", "Y", "Sc", "Sc", "Sc"], "fractional_positions": [[0.0000, 0.0000, 0.2445], [0.0000, 0.0000, 0.7555], [0.3333, 0.6667, 0.0000], [0.6667, 0.3333, 0.0000], [0.0000, 0.5000, 0.5000], [0.5000, 0.0000, 0.5000], [0.5000, 0.5000, 0.5000]], "dos_at_fermi_per_ev_cell": 17.1, "space_group": "P6/mmm", "rho_g_cm3": 3.816, "total_energy_ev_per_cell": -43.38, "crystal_system": "hexagonal"}


{"formula": "YSc", "functional": "GGA-PBE", "state": "relaxed", "lattice_angstrom": [[6.1434, 0.0000, 0.0000], [0.0000, 6.1434, 0.0000], [0.0000, 0.0000, 6.2451]], "species": ["Y", "Y", "Y", "Y", "Sc", "Sc", "Sc", "Sc"], "fractional_positions": [[0.1798, 0.1798, 0.0000], [0.3202, 0.6798, 0.5000], [0.6798, 0.3202, 0.5000], [0.8202, 0.8202, 0.0000], [0.1726, 0.1726, 0.5000], [0.3274, 0.6726, 0.0000], [0.6726, 0.3274, 0.0000], [0.8274, 0.8274, 0.5000]], "dos_at_fermi_per_ev_cell": 12.8, "space_group": "P4_2/mnm", "rho_g_cm3": 3.772, "total_energy_ev_per_cell": -47.36, "crystal_system": "tetragonal"}


{"formula": "Y5Sc", "functional": "GGA-PBE", "state": "relaxed", "lattice_angstrom": [[5.5694, -2.4874, 0.0000], [5.5694, 2.4874, 0.0000], [-2.2338, 0.0000, 6.6871]], "species": ["Y", "Y", "Y", "Y", "Y", "Sc"], "fractional_positions": [[0.0000, 0.0000, 0.0000], [0.3324, 0.3324, 0.6640], [0.3371, 0.3371, 0.1711], [0.6629, 0.6629, 0.8289], [0.6676, 0.6676, 0.3360], [0.0000, 0.0000, 0.5000]], "dos_at_fermi_per_ev_cell": 9.9, "space_group": "C2/m", "rho_g_cm3": 4.387, "total_energy_ev_per_cell": -38.39, "crystal_system": "monoclinic"}